(1)
Below is a geometry-optimized Ca3Tb structure, with properties calculated at the PBE level.

The space group is P6_3/mmc (No. 194) and the conventional cell measures 7.5799, 7.5799 and 6.2112 Å, with angles of 90.00, 90.00 and 120.00 degrees. The inequivalent atoms are Ca at (0.1704, 0.3408, 0.2500) and Tb at (0.3333, 0.6667, 0.7500).

The total energy comes out at -2.534 eV/atom. Its energy above the most stable polymorph in this dataset is 11 meV/atom.



(2)
Below is a geometry-optimized MgAl2BI structure, with properties calculated at the PBE level.

The space group is P4/mmm (No. 123) and the conventional cell measures 5.682, 5.682 and 4.555 Å, with angles of 90.00, 90.00 and 90.00 degrees. The inequivalent atoms are Mg at (0.000, 0.000, 0.000), Al at (0.000, 0.500, 0.500), B at (0.500, 0.500, 0.000) and I at (0.500, 0.500, 0.500).

The total energy comes out at -1.975 eV/atom. The calculation puts the uncorrected formation energy at 7.432 eV per formula unit.



(3)
Below is a geometry-optimized Ca4BeSe structure, with properties calculated at the PBE level.

The space group is F-43m (No. 216) and the conventional cell measures 9.251, 9.251 and 9.251 Å, with angles of 90.00, 90.00 and 90.00 degrees. The inequivalent atoms are Ca at (0.125, 0.125, 0.125), Be at (0.000, 0.000, 0.500) and Se at (0.250, 0.250, 0.750).

The total energy comes out at -2.038 eV/atom. The calculation puts the uncorrected formation energy at 2.988 eV per formula unit.



(4)
Below is a geometry-optimized BaTc2Pt structure, with properties calculated at the PBE level.

The space group is I4_1/amd (No. 141, origin choice 2) and the conventional cell measures 4.737, 4.737 and 18.793 Å, with angles of 90.00, 90.00 and 90.00 degrees. The inequivalent atoms are Ba at (0.000, 0.250, 0.375), Tc at (0.000, 0.000, 0.000) and Pt at (0.000, 0.250, 0.875).

The total energy comes out at -6.563 eV/atom. Its energy above the most stable polymorph in this dataset is 416 meV/atom.



(5)
Below is a geometry-optimized CsHfSc2Ni structure, with properties calculated at the PBE level.

The space group is P4/mmm (No. 123) and the conventional cell measures 5.113, 5.113 and 5.299 Å, with angles of 90.00, 90.00 and 90.00 degrees. The inequivalent atoms are Cs at (0.000, 0.000, 0.000), Hf at (0.000, 0.000, 0.500), Sc at (0.000, 0.500, 0.000) and Ni at (0.500, 0.500, 0.500).

The total energy comes out at -3.814 eV/atom. Its energy above the most stable polymorph in this dataset is 434 meV/atom.



(6)
Below is a geometry-optimized K2NaMg structure, with properties calculated at the PBE level.

The space group is P4/mmm (No. 123) and the conventional cell measures 4.587, 4.587 and 9.065 Å, with angles of 90.00, 90.00 and 90.00 degrees. The inequivalent atoms are K at (0.000, 0.000, 0.235), Na at (0.500, 0.500, 0.500) and Mg at (0.500, 0.500, 0.000).

The total energy comes out at -1.132 eV/atom.



Ordered N(E_F) results: 13.0; 3.2; 27.4; 22.5; 3.9; 3.0; unit states/eV/cell.